A plane-wave DFT calculation with PBE was carried out for a relaxed LaPmPrNd2 crystal.

The structure in POSCAR format:
```
LaPmPrNd2
1.0
-3.0874 6.0649 0.4118
-4.7908 -2.8692 6.3383
4.5851 2.0687 3.9096
La Pm Pr Nd
2 2 2 4
direct
0.0000 0.0000 0.0000 La
0.0000 0.0000 0.5000 La
0.5754 0.0000 0.2500 Pm
0.4246 0.0000 0.7500 Pm
0.1624 0.5000 0.7500 Pr
0.8376 0.5000 0.2500 Pr
0.6874 0.6945 0.7714 Nd
0.6874 0.3055 0.7286 Nd
0.3126 0.6945 0.2714 Nd
0.3126 0.3055 0.2286 Nd
```

Values from the calculation:
- Space-group type: No. 13
- DFT total energy: -45.6 eV/cell
- Magnetization: 0.00 μB/f.u.